VASP calculation (PBE) on crystalline PmErInHg at its relaxed geometry.

Cell and atoms, written as extended XYZ:
```
4
Lattice="0.000 3.784 3.784 3.784 0.000 3.784 3.784 3.784 0.000" Properties=species:S:1:pos:R:3 pbc="T T T"
Pm 0.000 0.000 0.000
Er 3.784 3.784 3.784
In 1.892 1.892 1.892
Hg 5.675 5.675 5.675
```

Results
SG = No. 216
DOS at the Fermi energy = 1.144 states/eV/atom
Total energy = -14.187 eV/cell
DFT formation energy = -0.46 eV/atom



VASP calculation (PBE) on crystalline TiMn4V at its relaxed geometry.

Cell and atoms, written as extended XYZ:
```
6
Lattice="0.000 3.324 3.324 3.324 0.000 3.324 3.324 3.324 0.000" Properties=species:S:1:pos:R:3 pbc="T T T"
Ti 0.000 0.000 0.000
Mn 2.493 2.493 2.493
Mn 4.156 4.156 2.493
Mn 4.156 2.493 4.156
Mn 2.493 4.156 4.156
V 4.987 4.987 4.987
```

Results
SG = No. 216
DOS at the Fermi energy = 1.752 states/eV/atom
Total energy = -54.597 eV/cell
DFT formation energy = -0.15 eV/atom



VASP calculation (PBE) on crystalline BC3 at its relaxed geometry.

Cell and atoms, written as extended XYZ:
```
8
Lattice="2.534 -2.627 0.000 2.534 2.627 0.000 -2.531 0.000 3.770" Properties=species:S:1:pos:R:3 pbc="T T T"
B 0.816 0.000 0.601
B 1.721 0.000 3.170
C 0.620 1.349 1.422
C -0.621 0.000 3.210
C 1.917 1.349 2.348
C 0.620 -1.349 1.422
C 3.158 0.000 0.560
C 1.917 -1.349 2.348
```

Results
SG = No. 12
DOS at the Fermi energy = 0.125 states/eV/atom
Total energy = -66.117 eV/cell
ΔE to the lowest computed polymorph = 0.082 eV/atom
DFT formation energy = 0.32 eV/atom



VASP calculation (PBE) on crystalline K2ZnW at its relaxed geometry.

Cell and atoms, written as extended XYZ:
```
4
Lattice="3.065 0.000 0.000 0.000 3.065 0.000 0.000 0.000 11.444" Properties=species:S:1:pos:R:3 pbc="T T T"
K 0.000 0.000 0.000
K 1.533 1.533 4.258
Zn 1.533 1.533 8.756
W 0.000 0.000 7.124
```

Results
SG = No. 99
DOS at the Fermi energy = 0.879 states/eV/atom
Total energy = -12.420 eV/cell
DFT formation energy = 1.00 eV/atom



VASP calculation (PBE) on crystalline RbAc2BeO5 at its relaxed geometry.

Cell and atoms, written as extended XYZ:
```
18
Lattice="-3.615 3.615 5.414 3.615 -3.615 5.414 3.615 3.615 -5.414" Properties=species:S:1:pos:R:3 pbc="T T T"
Rb 0.000 0.000 2.707
Rb 0.000 0.000 8.120
Ac 4.947 1.332 0.000
Ac 1.332 2.283 0.000
Ac 2.283 1.332 5.414
Ac -1.332 2.283 5.414
Be 3.615 0.000 2.707
Be 0.000 3.615 2.707
O 0.000 0.000 0.000
O 4.479 -0.864 1.556
O 2.751 -0.864 3.857
O 2.751 0.864 1.556
O 4.479 0.864 3.857
O 0.000 0.000 5.414
O -0.864 2.751 1.556
O 0.864 2.751 3.857
O 0.864 4.479 1.556
O -0.864 4.479 3.857
```

Results
SG = No. 140
DOS at the Fermi energy = 0.563 states/eV/atom
Total energy = -121.625 eV/cell
Formation energy from raw total energies = -2568 meV/atom



VASP calculation (PBE) on crystalline Tm4CdRh3 at its relaxed geometry.

Cell and atoms, written as extended XYZ:
```
8
Lattice="4.825 0.000 0.000 0.000 4.825 0.000 0.000 0.000 7.085" Properties=species:S:1:pos:R:3 pbc="T T T"
Tm 0.000 2.412 1.675
Tm 0.000 2.412 5.410
Tm 2.412 0.000 1.675
Tm 2.412 0.000 5.410
Cd 0.000 0.000 3.542
Rh 0.000 0.000 0.000
Rh 2.412 2.412 0.000
Rh 2.412 2.412 3.542
```

Results
SG = No. 123
DOS at the Fermi energy = 0.891 states/eV/atom
Total energy = -46.867 eV/cell
DFT formation energy = -0.75 eV/atom



VASP calculation (PBE) on crystalline NdSm8Th4 at its relaxed geometry.

Cell and atoms, written as extended XYZ:
```
13
Lattice="5.483 3.165 4.708 -5.483 3.165 4.708 0.000 -6.331 4.708" Properties=species:S:1:pos:R:3 pbc="T T T"
Nd 0.000 0.000 0.000
Sm 0.000 -2.972 5.799
Sm -2.574 1.486 5.799
Sm 0.000 0.000 3.672
Sm -2.574 -1.486 8.326
Sm 2.574 1.486 5.799
Sm 0.000 0.000 10.453
Sm 2.574 -1.486 8.326
Sm 0.000 2.972 8.326
Th -5.483 0.000 7.062
Th -2.741 1.583 2.354
Th 2.741 1.583 2.354
Th 0.000 0.000 7.062
```

Results
SG = No. 166
DOS at the Fermi energy = 1.546 states/eV/atom
Total energy = -64.808 eV/cell
DFT formation energy = 0.57 eV/atom



VASP calculation (PBE) on crystalline Li4Cd3Bi2 at its relaxed geometry.

Cell and atoms, written as extended XYZ:
```
9
Lattice="4.513 0.000 0.000 -2.250 4.635 0.000 -0.002 -2.438 9.418" Properties=species:S:1:pos:R:3 pbc="T T T"
Li 0.004 -0.680 3.123
Li 0.007 2.891 1.081
Li 2.254 -0.693 8.337
Li 2.258 2.878 6.295
Cd 0.000 0.000 0.000
Cd 0.004 2.079 4.235
Cd 2.258 0.119 5.183
Bi -0.004 1.033 7.399
Bi 2.265 1.164 2.019
```

Results
SG = No. 2
DOS at the Fermi energy = 0.238 states/eV/atom
Total energy = -20.775 eV/cell
DFT formation energy = -0.29 eV/atom



VASP calculation (PBE) on crystalline La8Pt3I4N at its relaxed geometry.

Cell and atoms, written as extended XYZ:
```
16
Lattice="7.310 -4.202 0.000 7.310 4.202 0.000 -4.888 0.000 8.198" Properties=species:S:1:pos:R:3 pbc="T T T"
La 3.773 2.309 5.607
La -0.205 0.000 5.627
La 5.959 2.309 2.591
La 2.425 0.000 2.563
La 7.307 0.000 5.635
La 3.773 -2.309 5.607
La 9.937 0.000 2.572
La 5.959 -2.309 2.591
Pt 1.211 2.101 4.099
Pt 1.211 -2.101 4.099
Pt 4.866 0.000 4.099
I 0.000 0.000 0.000
I 3.655 2.101 0.000
I 3.655 -2.101 0.000
I 7.310 0.000 0.000
N -2.444 0.000 4.099
```

Results
SG = No. 12
DOS at the Fermi energy = 0.895 states/eV/atom
Total energy = -90.758 eV/cell
Formation energy from raw total energies = -1168 meV/atom



VASP calculation (PBE) on crystalline NaGd2Pb at its relaxed geometry.

Cell and atoms, written as extended XYZ:
```
4
Lattice="5.042 0.000 0.000 0.000 5.042 0.000 0.000 0.000 4.539" Properties=species:S:1:pos:R:3 pbc="T T T"
Na 0.000 0.000 0.000
Gd 0.000 2.521 2.270
Gd 2.521 0.000 2.270
Pb 2.521 2.521 0.000
```

Results
SG = No. 123
DOS at the Fermi energy = 1.283 states/eV/atom
Total energy = -34.055 eV/cell
DFT formation energy = -0.22 eV/atom



VASP calculation (PBE) on crystalline SmHfMg at its relaxed geometry.

Cell and atoms, written as extended XYZ:
```
3
Lattice="-1.677 1.677 6.908 1.677 -1.677 6.908 1.677 1.677 -6.908" Properties=species:S:1:pos:R:3 pbc="T T T"
Sm 0.000 0.000 0.000
Hf 0.000 0.000 9.197
Mg 0.000 0.000 4.369
```

Results
SG = No. 107
DOS at the Fermi energy = 0.540 states/eV/atom
Total energy = -16.020 eV/cell
ΔE to the lowest computed polymorph = 0.000 eV/atom
DFT formation energy = 0.08 eV/atom



VASP calculation (PBE) on crystalline Sr3Pb3Au at its relaxed geometry.

Cell and atoms, written as extended XYZ:
```
14
Lattice="6.033 -2.497 0.000 6.033 2.497 0.000 -5.556 0.000 15.525" Properties=species:S:1:pos:R:3 pbc="T T T"
Sr -1.665 0.000 5.970
Sr -3.953 0.000 14.290
Sr 1.605 0.000 3.659
Sr 4.906 0.000 11.867
Sr 10.463 0.000 1.236
Sr 8.175 0.000 9.555
Pb 1.741 0.000 7.209
Pb -0.533 0.000 14.339
Pb 1.424 0.000 11.893
Pb 5.086 0.000 3.632
Pb 7.043 0.000 1.186
Pb 4.769 0.000 8.316
Au -0.440 0.000 9.602
Au 6.950 0.000 5.923
```

Results
SG = No. 12
DOS at the Fermi energy = 0.368 states/eV/atom
Total energy = -46.902 eV/cell
DFT formation energy = -0.57 eV/atom



Please write out number 12 again, unchanged.
VASP calculation (PBE) on crystalline Sr3Pb3Au at its relaxed geometry.

Cell and atoms, written as extended XYZ:
```
14
Lattice="6.033 -2.497 0.000 6.033 2.497 0.000 -5.556 0.000 15.525" Properties=species:S:1:pos:R:3 pbc="T T T"
Sr -1.665 0.000 5.970
Sr -3.953 0.000 14.290
Sr 1.605 0.000 3.659
Sr 4.906 0.000 11.867
Sr 10.463 0.000 1.236
Sr 8.175 0.000 9.555
Pb 1.741 0.000 7.209
Pb -0.533 0.000 14.339
Pb 1.424 0.000 11.893
Pb 5.086 0.000 3.632
Pb 7.043 0.000 1.186
Pb 4.769 0.000 8.316
Au -0.440 0.000 9.602
Au 6.950 0.000 5.923
```

Results
SG = No. 12
DOS at the Fermi energy = 0.368 states/eV/atom
Total energy = -46.902 eV/cell
DFT formation energy = -0.57 eV/atom



Q: Which of these has the lowest total energy?
A: RbAc2BeO5



What did the twelfth record say?
VASP calculation (PBE) on crystalline Sr3Pb3Au at its relaxed geometry.

Cell and atoms, written as extended XYZ:
```
14
Lattice="6.033 -2.497 0.000 6.033 2.497 0.000 -5.556 0.000 15.525" Properties=species:S:1:pos:R:3 pbc="T T T"
Sr -1.665 0.000 5.970
Sr -3.953 0.000 14.290
Sr 1.605 0.000 3.659
Sr 4.906 0.000 11.867
Sr 10.463 0.000 1.236
Sr 8.175 0.000 9.555
Pb 1.741 0.000 7.209
Pb -0.533 0.000 14.339
Pb 1.424 0.000 11.893
Pb 5.086 0.000 3.632
Pb 7.043 0.000 1.186
Pb 4.769 0.000 8.316
Au -0.440 0.000 9.602
Au 6.950 0.000 5.923
```

Results
SG = No. 12
DOS at the Fermi energy = 0.368 states/eV/atom
Total energy = -46.902 eV/cell
DFT formation energy = -0.57 eV/atom



Q: Look up the total energy of the fifth one.
A: -121.625 eV/cell